# CaNi2C2O6 | Alexandria | PBE+U | relaxed
# DFT total energy	-6.200	eV/atom
data_CaNi2C2O6
_cell_length_a 5.085
_cell_length_b 5.085
_cell_length_c 6.334
_cell_angle_alpha 90.00
_cell_angle_beta 90.00
_cell_angle_gamma 120.00
_space_group_name_H-M_alt 'P 1'
_space_group_IT_number 1
_space_group_name_Hall 'P 1'
loop_
_atom_site_label
_atom_site_type_symbol
_atom_site_fract_x
_atom_site_fract_y
_atom_site_fract_z
_atom_site_occupancy
Ni1 Ni 0.667 0.333 0.720 1
O1 O 0.596 0.915 0.773 1
O2 O 0.681 0.596 0.227 1
Ca1 Ca 0.000 0.000 0.000 1
O3 O 0.404 0.085 0.227 1
Ni2 Ni 0.333 0.667 0.280 1
O4 O 0.319 0.404 0.773 1
C1 C 0.333 0.667 0.771 1
O5 O 0.085 0.681 0.773 1
C2 C 0.667 0.333 0.229 1
O6 O 0.915 0.319 0.227 1

# CaNi3C4O12 | Alexandria | PBE+U | relaxed
# DFT total energy	-6.847	eV/atom
data_CaNi3C4O12
_cell_length_a 6.103
_cell_length_b 6.103
_cell_length_c 6.103
_cell_angle_alpha 103.11
_cell_angle_beta 103.11
_cell_angle_gamma 103.11
_space_group_name_H-M_alt 'P 1'
_space_group_IT_number 1
_space_group_name_Hall 'P 1'
loop_
_atom_site_label
_atom_site_type_symbol
_atom_site_fract_x
_atom_site_fract_y
_atom_site_fract_z
_atom_site_occupancy
C1 C 0.500 0.956 0.044 1
O1 O 0.364 0.636 0.500 1
O2 O 0.908 0.500 0.092 1
Ni1 Ni 0.457 0.000 0.543 1
O3 O 0.024 0.621 0.808 1
Ni2 Ni 0.000 0.543 0.457 1
O4 O 0.976 0.192 0.379 1
C2 C 0.500 0.500 0.500 1
O5 O 0.621 0.808 0.024 1
O6 O 0.379 0.976 0.192 1
C3 C 0.044 0.500 0.956 1
O7 O 0.636 0.500 0.364 1
O8 O 0.500 0.364 0.636 1
Ni3 Ni 0.543 0.457 0.000 1
O9 O 0.500 0.092 0.908 1
O10 O 0.808 0.024 0.621 1
O11 O 0.092 0.908 0.500 1
Ca1 Ca 0.000 0.000 0.000 1
C4 C 0.956 0.044 0.500 1
O12 O 0.192 0.379 0.976 1

Q: Which value of DFT total energy does entry 2 give?
A: -6.847 eV/atom

Please write out number 1 again, unchanged.
# CaNi2C2O6 | Alexandria | PBE+U | relaxed
# DFT total energy	-6.200	eV/atom
data_CaNi2C2O6
_cell_length_a 5.085
_cell_length_b 5.085
_cell_length_c 6.334
_cell_angle_alpha 90.00
_cell_angle_beta 90.00
_cell_angle_gamma 120.00
_space_group_name_H-M_alt 'P 1'
_space_group_IT_number 1
_space_group_name_Hall 'P 1'
loop_
_atom_site_label
_atom_site_type_symbol
_atom_site_fract_x
_atom_site_fract_y
_atom_site_fract_z
_atom_site_occupancy
Ni1 Ni 0.667 0.333 0.720 1
O1 O 0.596 0.915 0.773 1
O2 O 0.681 0.596 0.227 1
Ca1 Ca 0.000 0.000 0.000 1
O3 O 0.404 0.085 0.227 1
Ni2 Ni 0.333 0.667 0.280 1
O4 O 0.319 0.404 0.773 1
C1 C 0.333 0.667 0.771 1
O5 O 0.085 0.681 0.773 1
C2 C 0.667 0.333 0.229 1
O6 O 0.915 0.319 0.227 1